# B2N | the Alexandria database | PBE | optimized geometry
# **Offset from the most stable computed form**: 334 meV per atom
# **Formation energy without anion corrections**: -0.272 eV/atom
# **Calculated total energy**: -7.50 eV per atom
data_B2N
_chemical_formula_sum 'B4 N2'
_space_group_name_H-M_alt 'P 1'
_space_group_IT_number 1
_space_group_name_Hall 'P 1'
_cell_length_a 3.9957
_cell_length_b 2.5537
_cell_length_c 4.1545
_cell_angle_alpha 90.00
_cell_angle_beta 91.91
_cell_angle_gamma 90.00
loop_
_atom_site_label
_atom_site_fract_x
_atom_site_fract_y
_atom_site_fract_z
N1 0.6932 0.0000 0.7498
N2 0.2074 0.5000 0.0098
B1 0.9092 0.0000 0.4587
B2 0.4688 0.5000 0.7432
B3 0.9875 0.0000 0.0187
B4 0.1947 0.5000 0.3830

=====

# Rb7SeO2 | the Alexandria database | PBE | optimized geometry
# **Formation energy without anion corrections**: -0.772 eV/atom
# **Calculated total energy**: -2.79 eV per atom
data_Rb7SeO2
_chemical_formula_sum 'Rb7 Se1 O2'
_space_group_name_H-M_alt 'P 1'
_space_group_IT_number 1
_space_group_name_Hall 'P 1'
_cell_length_a 5.5133
_cell_length_b 8.6312
_cell_length_c 8.6312
_cell_angle_alpha 103.56
_cell_angle_beta 90.00
_cell_angle_gamma 90.00
loop_
_atom_site_label
_atom_site_fract_x
_atom_site_fract_y
_atom_site_fract_z
Rb1 0.5000 0.0280 0.2984
Rb2 0.5000 0.7016 0.9720
Rb3 0.0000 0.7166 0.2834
Rb4 0.5000 0.5000 0.5000
Rb5 0.0000 0.2834 0.7166
Rb6 0.5000 0.9720 0.7016
Rb7 0.5000 0.2984 0.0280
O1 0.5000 0.2880 0.7120
O2 0.5000 0.7120 0.2880
Se1 0.0000 0.0000 0.0000

=====

# Hf2ReSnOs | the Alexandria database | PBE | optimized geometry
# **Calculated total energy**: -7.44 eV per atom
# **Energy relative to the elements**: 2077 meV/atom
data_Hf2ReSnOs
_chemical_formula_sum 'Hf2 Re1 Sn1 Os1'
_space_group_name_H-M_alt 'P 1'
_space_group_IT_number 1
_space_group_name_Hall 'P 1'
_cell_length_a 5.0863
_cell_length_b 4.6907
_cell_length_c 5.0863
_cell_angle_alpha 90.00
_cell_angle_beta 90.00
_cell_angle_gamma 90.00
loop_
_atom_site_label
_atom_site_fract_x
_atom_site_fract_y
_atom_site_fract_z
Hf1 0.5000 0.0000 0.0000
Hf2 0.0000 0.0000 0.5000
Os1 0.0000 0.5000 0.0000
Re1 0.5000 0.5000 0.5000
Sn1 0.0000 0.0000 0.0000

=====

# Ac3Zn2Cu3 | the Alexandria database | PBE | optimized geometry
# **Calculated total energy**: -3.60 eV per atom
# **Energy relative to the elements**: -206 meV/atom
data_Ac3Zn2Cu3
_chemical_formula_sum 'Ac6 Zn4 Cu6'
_space_group_name_H-M_alt 'P 1'
_space_group_IT_number 1
_space_group_name_Hall 'P 1'
_cell_length_a 4.5612
_cell_length_b 6.0368
_cell_length_c 15.6826
_cell_angle_alpha 90.00
_cell_angle_beta 90.00
_cell_angle_gamma 112.20
loop_
_atom_site_label
_atom_site_fract_x
_atom_site_fract_y
_atom_site_fract_z
Cu1 0.3034 0.6067 0.2500
Cu2 0.5955 0.1910 0.4521
Cu3 0.4045 0.8090 0.5479
Cu4 0.6966 0.3933 0.7500
Cu5 0.4045 0.8090 0.9521
Cu6 0.5955 0.1910 0.0479
Ac1 0.1147 0.2293 0.5962
Ac2 0.8853 0.7707 0.4038
Ac3 0.6002 0.2005 0.2500
Ac4 0.8853 0.7707 0.0962
Ac5 0.1147 0.2293 0.9038
Ac6 0.3998 0.7995 0.7500
Zn1 0.8200 0.6400 0.6059
Zn2 0.1800 0.3600 0.1059
Zn3 0.1800 0.3600 0.3941
Zn4 0.8200 0.6400 0.8941

=====

# BeFeTcP | the Alexandria database | PBE | optimized geometry
# **Calculated total energy**: -7.27 eV per atom
# **Energy relative to the elements**: -277 meV/atom
data_BeFeTcP
_chemical_formula_sum 'Be1 Fe1 Tc1 P1'
_space_group_name_H-M_alt 'P 1'
_space_group_IT_number 1
_space_group_name_Hall 'P 1'
_cell_length_a 3.9268
_cell_length_b 3.9268
_cell_length_c 3.9268
_cell_angle_alpha 60.00
_cell_angle_beta 60.00
_cell_angle_gamma 60.00
loop_
_atom_site_label
_atom_site_fract_x
_atom_site_fract_y
_atom_site_fract_z
Be1 0.0000 0.0000 0.0000
P1 0.5000 0.5000 0.5000
Tc1 0.7500 0.7500 0.7500
Fe1 0.2500 0.2500 0.2500

=====

# Ni4SnN | the Alexandria database | PBE | optimized geometry
# **Formation energy without anion corrections**: -0.028 eV/atom
# **Calculated total energy**: -5.94 eV per atom
data_Ni4SnN
_chemical_formula_sum 'Ni8 Sn2 N2'
_space_group_name_H-M_alt 'P 1'
_space_group_IT_number 1
_space_group_name_Hall 'P 1'
_cell_length_a 4.7368
_cell_length_b 5.2073
_cell_length_c 7.3543
_cell_angle_alpha 118.59
_cell_angle_beta 108.80
_cell_angle_gamma 89.95
loop_
_atom_site_label
_atom_site_fract_x
_atom_site_fract_y
_atom_site_fract_z
N1 0.5000 0.0000 0.5000
N2 0.0000 0.5000 0.5000
Sn1 0.1653 0.2499 0.9998
Sn2 0.8347 0.7501 0.0002
Ni1 0.8564 0.8572 0.5694
Ni2 0.7131 0.3569 0.5694
Ni3 0.4577 0.8019 0.1990
Ni4 0.7403 0.3019 0.1996
Ni5 0.5423 0.1981 0.8010
Ni6 0.1436 0.1428 0.4306
Ni7 0.2597 0.6981 0.8004
Ni8 0.2869 0.6431 0.4306

=====

# Ca2TlPb | the Alexandria database | PBE | optimized geometry
# **Offset from the most stable computed form**: 288 meV per atom
# **Calculated total energy**: -2.72 eV per atom
# **Energy relative to the elements**: -203 meV/atom
data_Ca2TlPb
_chemical_formula_sum 'Ca2 Tl1 Pb1'
_space_group_name_H-M_alt 'P 1'
_space_group_IT_number 1
_space_group_name_Hall 'P 1'
_cell_length_a 5.6657
_cell_length_b 5.6657
_cell_length_c 5.6657
_cell_angle_alpha 60.00
_cell_angle_beta 60.00
_cell_angle_gamma 60.00
loop_
_atom_site_label
_atom_site_fract_x
_atom_site_fract_y
_atom_site_fract_z
Ca1 0.0000 0.0000 0.0000
Ca2 0.2500 0.2500 0.2500
Pb1 0.5000 0.5000 0.5000
Tl1 0.7500 0.7500 0.7500

=====

# Ru4Se | the Alexandria database | PBE | optimized geometry
# **Offset from the most stable computed form**: 1066 meV per atom
# **Formation energy without anion corrections**: 1.387 eV/atom
# **Calculated total energy**: -6.73 eV per atom
data_Ru4Se
_chemical_formula_sum 'Ru4 Se1'
_space_group_name_H-M_alt 'P 1'
_space_group_IT_number 1
_space_group_name_Hall 'P 1'
_cell_length_a 4.4948
_cell_length_b 4.4948
_cell_length_c 4.4948
_cell_angle_alpha 90.00
_cell_angle_beta 90.00
_cell_angle_gamma 90.00
loop_
_atom_site_label
_atom_site_fract_x
_atom_site_fract_y
_atom_site_fract_z
Se1 0.5000 0.5000 0.5000
Ru1 0.5000 0.5000 0.0000
Ru2 0.0000 0.5000 0.5000
Ru3 0.0000 0.0000 0.0000
Ru4 0.5000 0.0000 0.5000

=====

# Ag2H2Pb | the Alexandria database | PBE | optimized geometry
# **Offset from the most stable computed form**: 0 meV per atom
# **Calculated total energy**: -2.90 eV per atom
data_Ag2H2Pb
_chemical_formula_sum 'Ag2 H2 Pb1'
_space_group_name_H-M_alt 'P 1'
_space_group_IT_number 1
_space_group_name_Hall 'P 1'
_cell_length_a 3.4745
_cell_length_b 3.4745
_cell_length_c 6.7890
_cell_angle_alpha 75.17
_cell_angle_beta 75.17
_cell_angle_gamma 90.00
loop_
_atom_site_label
_atom_site_fract_x
_atom_site_fract_y
_atom_site_fract_z
H1 0.7500 0.2500 0.5000
H2 0.2500 0.7500 0.5000
Ag1 0.3266 0.3266 0.3468
Ag2 0.6734 0.6734 0.6532
Pb1 0.0000 0.0000 0.0000

=====

# LaCrIn2 | the Alexandria database | PBE | optimized geometry
# **Calculated total energy**: -4.87 eV per atom
# **Energy relative to the elements**: 133 meV/atom
data_LaCrIn2
_chemical_formula_sum 'La1 Cr1 In2'
_space_group_name_H-M_alt 'P 1'
_space_group_IT_number 1
_space_group_name_Hall 'P 1'
_cell_length_a 5.8528
_cell_length_b 5.8528
_cell_length_c 3.2492
_cell_angle_alpha 89.95
_cell_angle_beta 89.95
_cell_angle_gamma 112.86
loop_
_atom_site_label
_atom_site_fract_x
_atom_site_fract_y
_atom_site_fract_z
La1 0.5000 0.0000 0.5000
In1 0.0000 0.0000 0.0000
In2 0.5000 0.5000 0.0000
Cr1 0.0000 0.5000 0.5000

=====

# LaPm12Sn7 | the Alexandria database | PBE | optimized geometry
# **Calculated total energy**: -4.96 eV per atom
# **Energy relative to the elements**: -463 meV/atom
data_LaPm12Sn7
_chemical_formula_sum 'La1 Pm12 Sn7'
_space_group_name_H-M_alt 'P 1'
_space_group_IT_number 1
_space_group_name_Hall 'P 1'
_cell_length_a 9.5695
_cell_length_b 9.5695
_cell_length_c 9.5695
_cell_angle_alpha 110.82
_cell_angle_beta 110.82
_cell_angle_gamma 110.82
loop_
_atom_site_label
_atom_site_fract_x
_atom_site_fract_y
_atom_site_fract_z
Sn1 0.1381 0.1380 0.4542
Sn2 0.8620 0.5458 0.8619
Sn3 0.5458 0.8619 0.8620
Sn4 0.5000 0.5000 0.5000
Sn5 0.8619 0.8620 0.5458
Sn6 0.1380 0.4542 0.1381
Sn7 0.4542 0.1381 0.1380
Pm1 0.4904 0.4905 0.1608
Pm2 0.5095 0.8392 0.5096
Pm3 0.0001 0.2733 0.7269
Pm4 0.1608 0.4904 0.4905
Pm5 0.2733 0.7269 0.0001
Pm6 0.8392 0.5096 0.5095
Pm7 0.7267 0.2731 0.9999
Pm8 0.4905 0.1608 0.4904
Pm9 0.7269 0.0001 0.2733
Pm10 0.2731 0.9999 0.7267
Pm11 0.9999 0.7267 0.2731
Pm12 0.5096 0.5095 0.8392
La1 0.0000 0.0000 0.0000

=====

# ScCrCuC | the Alexandria database | PBE | optimized geometry
# **Calculated total energy**: -7.41 eV per atom
# **Energy relative to the elements**: -95 meV/atom
data_ScCrCuC
_chemical_formula_sum 'Sc2 Cr2 Cu2 C2'
_space_group_name_H-M_alt 'P 1'
_space_group_IT_number 1
_space_group_name_Hall 'P 1'
_cell_length_a 3.2576
_cell_length_b 3.2576
_cell_length_c 9.7025
_cell_angle_alpha 90.00
_cell_angle_beta 90.00
_cell_angle_gamma 90.00
loop_
_atom_site_label
_atom_site_fract_x
_atom_site_fract_y
_atom_site_fract_z
C1 0.2500 0.2500 0.1385
C2 0.7500 0.7500 0.8615
Sc1 0.7500 0.7500 0.2475
Sc2 0.2500 0.2500 0.7525
Cu1 0.7500 0.2500 0.5000
Cu2 0.2500 0.7500 0.5000
Cr1 0.2500 0.7500 0.0000
Cr2 0.7500 0.2500 0.0000

=====

Q: Look up the calculated total energy of the second one.
A: -2.79 eV per atom